# PBE Cd2SiRh, relaxed
data_Cd2SiRh
_space_group_name_H-M_alt 'P 1'
_space_group_IT_number 1
_cell_length_a 9.9524
_cell_length_b 9.9524
_cell_length_c 9.9524
_cell_angle_alpha 16.94
_cell_angle_beta 16.94
_cell_angle_gamma 16.94
loop_
_space_group_symop_operation_xyz
'x,y,z'
loop_
_atom_site_label
_atom_site_fract_x
_atom_site_fract_y
_atom_site_fract_z
Cd1 0.9932 0.9932 0.9932
Cd2 0.5068 0.5068 0.5068
Rh1 0.2500 0.2500 0.2500
Si1 0.7500 0.7500 0.7500
# space-group type = R-3m
# N(E_F) = 0.548 states/eV per atom
# formation energy from raw total energies = 234 meV per atom
# energy = -13.7 eV for the cell shown
# calculated volume = 18.24 A^3/atom



# PBE SmIn6Pd3, relaxed
data_SmIn6Pd3
_space_group_name_H-M_alt 'P 1'
_space_group_IT_number 1
_cell_length_a 4.5759
_cell_length_b 9.2279
_cell_length_c 10.5068
_cell_angle_alpha 81.10
_cell_angle_beta 90.00
_cell_angle_gamma 90.00
loop_
_space_group_symop_operation_xyz
'x,y,z'
loop_
_atom_site_label
_atom_site_fract_x
_atom_site_fract_y
_atom_site_fract_z
Sm1 0.7500 0.0772 0.7418
Sm2 0.2500 0.9228 0.2582
In1 0.7500 0.3792 0.5067
In2 0.2500 0.6208 0.4933
In3 0.7500 0.8535 0.0372
In4 0.2500 0.1465 0.9628
In5 0.7500 0.4477 0.0951
In6 0.2500 0.5523 0.9049
In7 0.7500 0.6502 0.2974
In8 0.2500 0.3498 0.7026
In9 0.7500 0.0966 0.3902
In10 0.2500 0.9034 0.6098
In11 0.7500 0.7098 0.7643
In12 0.2500 0.2902 0.2357
Pd1 0.7500 0.3825 0.8494
Pd2 0.2500 0.6175 0.1506
Pd3 0.7500 0.8102 0.4991
Pd4 0.2500 0.1898 0.5009
Pd5 0.7500 0.1409 0.1161
Pd6 0.2500 0.8591 0.8839
# space-group type = P2_1/m
# N(E_F) = 0.339 states/eV per atom
# energy = -82.4 eV for the cell shown
# calculated volume = 21.92 A^3/atom



# PBE SrAg2Pt2, relaxed
data_SrAg2Pt2
_space_group_name_H-M_alt 'P 1'
_space_group_IT_number 1
_cell_length_a 8.0527
_cell_length_b 8.0527
_cell_length_c 3.0680
_cell_angle_alpha 90.00
_cell_angle_beta 90.00
_cell_angle_gamma 90.00
loop_
_space_group_symop_operation_xyz
'x,y,z'
loop_
_atom_site_label
_atom_site_fract_x
_atom_site_fract_y
_atom_site_fract_z
Sr1 0.0000 0.0000 0.0000
Sr2 0.5000 0.5000 0.0000
Ag1 0.3779 0.8779 0.0000
Ag2 0.8779 0.6221 0.0000
Ag3 0.6221 0.1221 0.0000
Ag4 0.1221 0.3779 0.0000
Pt1 0.1747 0.6747 0.5000
Pt2 0.6747 0.8253 0.5000
Pt3 0.8253 0.3253 0.5000
Pt4 0.3253 0.1747 0.5000
# space-group type = P4/mbm
# N(E_F) = 0.301 states/eV per atom
# energy = -41.0 eV for the cell shown
# calculated volume = 19.89 A^3/atom
# offset from the most stable computed form = 2.63 kcal/mol of atoms



# PBE Dy2ThSi4, relaxed
data_Dy2ThSi4
_space_group_name_H-M_alt 'P 1'
_space_group_IT_number 1
_cell_length_a 3.9363
_cell_length_b 4.2743
_cell_length_c 9.2355
_cell_angle_alpha 103.38
_cell_angle_beta 102.30
_cell_angle_gamma 90.00
loop_
_space_group_symop_operation_xyz
'x,y,z'
loop_
_atom_site_label
_atom_site_fract_x
_atom_site_fract_y
_atom_site_fract_z
Dy1 0.8174 0.8174 0.6348
Dy2 0.1826 0.1826 0.3652
Th1 0.5000 0.0000 0.0000
Si1 0.6500 0.6500 0.3000
Si2 0.3500 0.3500 0.7000
Si3 0.0669 0.5669 0.1339
Si4 0.9331 0.4331 0.8661
# space-group type = Immm
# N(E_F) = 0.449 states/eV per atom
# formation energy from raw total energies = -757 meV per atom
# energy = -43.6 eV for the cell shown
# calculated volume = 21.07 A^3/atom



# PBE Pr2HoEr6Tm, relaxed
data_Pr2HoEr6Tm
_space_group_name_H-M_alt 'P 1'
_space_group_IT_number 1
_cell_length_a 9.6579
_cell_length_b 8.7135
_cell_length_c 8.7135
_cell_angle_alpha 118.07
_cell_angle_beta 94.74
_cell_angle_gamma 94.74
loop_
_space_group_symop_operation_xyz
'x,y,z'
loop_
_atom_site_label
_atom_site_fract_x
_atom_site_fract_y
_atom_site_fract_z
Pr1 0.4570 0.8066 0.7031
Pr2 0.0430 0.2969 0.1934
Pr3 0.5430 0.1934 0.2969
Pr4 0.9570 0.7031 0.8066
Ho1 0.2500 0.9827 0.0173
Ho2 0.7500 0.0173 0.9827
Er1 0.0577 0.1255 0.7430
Er2 0.4423 0.2570 0.8745
Er3 0.9423 0.8745 0.2570
Er4 0.5577 0.7430 0.1255
Er5 0.3120 0.9782 0.4234
Er6 0.1880 0.5766 0.0218
Er7 0.6880 0.0218 0.5766
Er8 0.8120 0.4234 0.9782
Er9 0.1184 0.7072 0.4965
Er10 0.3816 0.5035 0.2928
Er11 0.8816 0.2928 0.5035
Er12 0.6184 0.4965 0.7072
Tm1 0.2500 0.4060 0.5940
Tm2 0.7500 0.5940 0.4060
# space-group type = C2/c
# N(E_F) = 1.306 states/eV per atom
# energy = -89.6 eV for the cell shown
# calculated volume = 31.93 A^3/atom



# PBE SiAs2Au, relaxed
data_SiAs2Au
_space_group_name_H-M_alt 'P 1'
_space_group_IT_number 1
_cell_length_a 2.7920
_cell_length_b 2.7920
_cell_length_c 9.7111
_cell_angle_alpha 90.00
_cell_angle_beta 90.00
_cell_angle_gamma 105.23
loop_
_space_group_symop_operation_xyz
'x,y,z'
loop_
_atom_site_label
_atom_site_fract_x
_atom_site_fract_y
_atom_site_fract_z
As1 0.0000 0.0000 0.9825
As2 0.5000 0.5000 0.2588
Au1 0.0000 0.0000 0.5129
Si1 0.5000 0.5000 0.7458
# space-group type = Cmm2
# N(E_F) = 0.626 states/eV per atom
# formation energy from raw total energies = 424 meV per atom
# energy = -16.3 eV for the cell shown
# calculated volume = 18.26 A^3/atom



# PBE YThCdIn, relaxed
data_YThCdIn
_space_group_name_H-M_alt 'P 1'
_space_group_IT_number 1
_cell_length_a 5.3944
_cell_length_b 5.3944
_cell_length_c 5.3944
_cell_angle_alpha 60.00
_cell_angle_beta 60.00
_cell_angle_gamma 60.00
loop_
_space_group_symop_operation_xyz
'x,y,z'
loop_
_atom_site_label
_atom_site_fract_x
_atom_site_fract_y
_atom_site_fract_z
Y1 0.7500 0.7500 0.7500
Cd1 0.0000 0.0000 0.0000
Th1 0.2500 0.2500 0.2500
In1 0.5000 0.5000 0.5000
# space-group type = F-43m
# N(E_F) = 0.751 states/eV per atom
# energy = -18.7 eV for the cell shown
# calculated volume = 27.75 A^3/atom



# PBE Ta4Al2Ga5, relaxed
data_Ta4Al2Ga5
_space_group_name_H-M_alt 'P 1'
_space_group_IT_number 1
_cell_length_a 2.8630
_cell_length_b 6.7552
_cell_length_c 11.8715
_cell_angle_alpha 122.38
_cell_angle_beta 96.93
_cell_angle_gamma 90.00
loop_
_space_group_symop_operation_xyz
'x,y,z'
loop_
_atom_site_label
_atom_site_fract_x
_atom_site_fract_y
_atom_site_fract_z
Ta1 0.7255 0.6374 0.4510
Ta2 0.0377 0.7430 0.0754
Ta3 0.2745 0.3626 0.5490
Ta4 0.9623 0.2570 0.9246
Al1 0.5875 0.4967 0.1749
Al2 0.4125 0.5033 0.8251
Ga1 0.1753 0.8881 0.3506
Ga2 0.8247 0.1119 0.6494
Ga3 0.1365 0.2206 0.2730
Ga4 0.5000 0.0000 0.0000
Ga5 0.8635 0.7794 0.7270
# space-group type = C2/m
# N(E_F) = 0.421 states/eV per atom
# energy = -70.1 eV for the cell shown
# calculated volume = 17.45 A^3/atom